{
  "formula": "Nd2YNi2B2N3",
  "functional": "GGA-PBE",
  "state": "relaxed",
  "cell": [[-1.791, 1.791, 10.076], [1.791, -1.791, 10.076], [1.791, 1.791, -10.076]],
  "species": ["Nd", "Nd", "Y", "Ni", "Ni", "B", "B", "N", "N", "N"],
  "fractional_positions": [[0.124, 0.124, 0.000], [0.876, 0.876, 0.000], [0.500, 0.500, 0.000], [0.250, 0.750, 0.500], [0.750, 0.250, 0.500], [0.309, 0.309, 0.000], [0.691, 0.691, 0.000], [0.000, 0.000, 0.000], [0.382, 0.382, 0.000], [0.618, 0.618, 0.000]],
  "e_tot_ev_per_atom": -7.646,
  "volume_a3_per_cell": 129.2,
  "crystal_system": "tetragonal"
}